Tb3TlS: relaxed, PBE.

Values from the calculation:
The calculation puts the total magnetization at 0.64 μB/f.u. The relative energy among the computed polymorphs comes out at 0 meV per atom.

a b c (Å): 3.957 9.034 14.913
angles (deg): 90.00 90.00 90.00
Last column: magnetic moment on the atom in μB.
Positions (direct):
Tb  0.750  0.207  0.285  0.14
Tb  0.250  0.666  0.988  0.07
Tb  0.250  0.029  0.110  0.18
Tb  0.250  0.529  0.390  0.18
Tb  0.250  0.166  0.512  0.07
Tb  0.750  0.471  0.610  0.18
Tb  0.250  0.293  0.785  0.14
Tb  0.750  0.971  0.890  0.18
Tb  0.750  0.334  0.012  0.07
Tb  0.750  0.707  0.215  0.14
Tb  0.750  0.834  0.488  0.07
Tb  0.250  0.793  0.715  0.14
Tl  0.250  0.930  0.327  0.00
Tl  0.750  0.070  0.673  0.00
Tl  0.750  0.570  0.827  0.00
Tl  0.250  0.430  0.173  0.00
S  0.250  0.660  0.554  0.00
S  0.750  0.340  0.446  0.00
S  0.750  0.840  0.054  0.00
S  0.250  0.160  0.946  0.00

---

Tb2TlS4: relaxed, PBE.

Values from the calculation:
The calculation puts the total magnetization at 0.00 μB/f.u.

a b c (Å): 8.218 8.218 8.216
angles (deg): 119.97 119.98 90.05
Positions (direct):
Tb  0.625  0.375  0.750
Tb  0.625  0.875  0.250
Tb  0.625  0.375  0.250
Tb  0.125  0.375  0.750
Tl  0.250  0.750  0.500
Tl  0.000  0.000  0.000
S  0.862  0.138  0.276
S  0.388  0.612  0.224
S  0.862  0.586  0.724
S  0.862  0.138  0.724
S  0.414  0.138  0.276
S  0.388  0.164  0.776
S  0.388  0.612  0.776
S  0.836  0.612  0.224

---

Energy relative to the elements, uncorrected per entry: -95 -147 kJ/mol of atoms